ZnCd2Ga2 | GGA-PBE | relaxed

Results
Symmetry: P4/mbm (127)
ΔH_f (0 K) (eV/atom): 0.079
VASP energy (Ha/atom): -0.064
Magnetic moment (μB per cell): 0.00

Cell: 6.7578 6.7578 4.5595 Å, 90.00 90.00 90.00°
Fractional positions:
Cd (0.6750, 0.8250, 0.5000)
Cd (0.3250, 0.1750, 0.5000)
Cd (0.8250, 0.3250, 0.5000)
Cd (0.1750, 0.6750, 0.5000)
Ga (0.1388, 0.3612, 0.0000)
Ga (0.8612, 0.6388, 0.0000)
Ga (0.6388, 0.1388, 0.0000)
Ga (0.3612, 0.8612, 0.0000)
Zn (0.0000, 0.0000, 0.0000)
Zn (0.5000, 0.5000, 0.0000)

AlVZnMo | GGA-PBE | relaxed

Results
Symmetry: F-43m (216)
ΔH_f (0 K) (eV/atom): -0.010
VASP energy (Ha/atom): -0.230
Magnetic moment (μB per cell): 0.00

Cell: 4.3468 4.3468 4.3468 Å, 60.00 60.00 60.00°
Fractional positions:
Al (0.5000, 0.5000, 0.5000)
Mo (0.7500, 0.7500, 0.7500)
V (0.0000, 0.0000, 0.0000)
Zn (0.2500, 0.2500, 0.2500)

HfNi2HPt | GGA-PBE | relaxed

Results
Symmetry: P4/mmm (123)
VASP energy (Ha/atom): -0.246
Magnetic moment (μB per cell): 0.00

Cell: 3.8287 3.8287 4.0691 Å, 90.00 90.00 90.00°
Fractional positions:
Hf (0.0000, 0.0000, 0.5000)
Ni (0.0000, 0.5000, 0.0000)
Ni (0.5000, 0.0000, 0.0000)
Pt (0.5000, 0.5000, 0.5000)
H (0.0000, 0.0000, 0.0000)

ErNb4Ga4 | GGA-PBE | relaxed

Results
Symmetry: P4_2/n (86)
ΔH_f (0 K) (eV/atom): -0.078
VASP energy (Ha/atom): -0.235
Magnetic moment (μB per cell): 0.01

Cell: 5.2060 8.0333 8.0333 Å, 90.00 90.00 90.00°
Fractional positions:
Er (0.5000, 0.5000, 0.5000)
Er (0.0000, 0.0000, 0.0000)
Nb (0.1179, 0.9430, 0.3533)
Nb (0.3821, 0.5570, 0.1467)
Nb (0.6179, 0.8533, 0.5570)
Nb (0.8821, 0.3533, 0.0570)
Nb (0.3821, 0.4430, 0.8533)
Nb (0.8821, 0.6467, 0.9430)
Nb (0.6179, 0.1467, 0.4430)
Nb (0.1179, 0.0570, 0.6467)
Ga (0.4130, 0.7911, 0.8734)
Ga (0.4130, 0.2089, 0.1266)
Ga (0.9130, 0.6266, 0.2911)
Ga (0.9130, 0.3734, 0.7089)
Ga (0.5870, 0.8734, 0.2089)
Ga (0.0870, 0.2911, 0.3734)
Ga (0.0870, 0.7089, 0.6266)
Ga (0.5870, 0.1266, 0.7911)

Question: Which of these has the highest magnetic moment?
Answer: ErNb4Ga4